Computed, not measured: RbV3P after structural relaxation at the PBE level of DFT. Values from VASP.

Cell and atoms, written as Quantum ESPRESSO input:
```
&SYSTEM
  ibrav = 0, nat = 5, ntyp = 3
/
ATOMIC_SPECIES
P 30.97 P.upf
Rb 85.47 Rb.upf
V 50.94 V.upf
CELL_PARAMETERS angstrom
4.489 0.000 0.000
0.000 4.489 0.000
0.000 0.000 4.489
ATOMIC_POSITIONS crystal
P 0.500 0.500 0.500
Rb 0.000 0.000 0.000
V 0.000 0.500 0.000
V 0.000 0.000 0.500
V 0.500 0.000 0.000
```

Values from the calculation:
calculated formation energy: 2734 meV/atom

***

Computed, not measured: Ge3IN after structural relaxation at the PBE level of DFT. Values from VASP.

Cell and atoms, written as Quantum ESPRESSO input:
```
&SYSTEM
  ibrav = 0, nat = 5, ntyp = 3
/
ATOMIC_SPECIES
I 126.90 I.upf
Ge 72.64 Ge.upf
N 14.01 N.upf
CELL_PARAMETERS angstrom
-3.209 1.726 -2.936
-3.320 -2.487 2.166
-0.761 3.569 2.929
ATOMIC_POSITIONS crystal
I 0.500 0.500 0.500
Ge 0.000 0.500 0.000
Ge 0.000 0.000 0.500
Ge 0.500 0.000 0.000
N 0.000 0.000 0.000
```

Values from the calculation:
ΔE_f (raw): 0.80 eV/atom

***

Computed, not measured: Th3CdTc after structural relaxation at the PBE level of DFT. Values from VASP.

Cell and atoms, written as Quantum ESPRESSO input:
```
&SYSTEM
  ibrav = 0, nat = 10, ntyp = 3
/
ATOMIC_SPECIES
Th 232.04 Th.upf
Cd 112.41 Cd.upf
Tc 98.00 Tc.upf
CELL_PARAMETERS angstrom
5.983 -0.038 -1.189
-2.865 5.252 -1.188
0.008 0.013 8.991
ATOMIC_POSITIONS crystal
Th 0.305 0.805 0.111
Th 0.695 0.195 0.889
Th 0.064 0.205 0.268
Th 0.936 0.795 0.732
Th 0.705 0.564 0.268
Th 0.295 0.436 0.732
Cd 0.709 0.209 0.500
Cd 0.291 0.791 0.500
Tc 0.250 0.250 0.000
Tc 0.750 0.750 0.000
```

Values from the calculation:
calculated formation energy: -115 meV/atom

***

no.,size of the total moment (μB/f.u.),distance to the lowest polymorph of the same formula (kcal/mol of atoms)
1,0.0,42.93
2,0.0,0.00
3,0.0,0.00